*1*
# PBE Nd7Y12Th, relaxed
# ρ: 5.55 Mg/m³
# V: 690.4 Å³ per cell
data_Nd7Y12Th
_symmetry_space_group_name_H-M 'P 1'
_symmetry_Int_Tables_number 1
_cell_length_a 8.839
_cell_length_b 8.839
_cell_length_c 8.839
_cell_angle_alpha 89.09
_cell_angle_beta 89.09
_cell_angle_gamma 89.09
loop_
_symmetry_equiv_pos_as_xyz
'x,y,z'
loop_
_atom_site_label
_atom_site_fract_x
_atom_site_fract_y
_atom_site_fract_z
Nd1 0.000 0.000 0.000
Nd2 0.120 0.454 0.340
Nd3 0.340 0.120 0.454
Nd4 0.454 0.340 0.120
Nd5 0.546 0.660 0.880
Nd6 0.660 0.880 0.546
Nd7 0.880 0.546 0.660
Y1 0.003 0.115 0.649
Y2 0.115 0.649 0.003
Y3 0.215 0.755 0.632
Y4 0.245 0.368 0.785
Y5 0.351 0.997 0.885
Y6 0.368 0.785 0.245
Y7 0.632 0.215 0.755
Y8 0.649 0.003 0.115
Y9 0.755 0.632 0.215
Y10 0.785 0.245 0.368
Y11 0.885 0.351 0.997
Y12 0.997 0.885 0.351
Th1 0.500 0.500 0.500

=====

*2*
# PBE Nd7Y12Th, relaxed
# ρ: 5.23 Mg/m³
# V: 733.3 Å³ per cell
data_Nd7Y12Th
_symmetry_space_group_name_H-M 'P 1'
_symmetry_Int_Tables_number 1
_cell_length_a 9.839
_cell_length_b 9.839
_cell_length_c 9.839
_cell_angle_alpha 109.47
_cell_angle_beta 109.47
_cell_angle_gamma 109.47
loop_
_symmetry_equiv_pos_as_xyz
'x,y,z'
loop_
_atom_site_label
_atom_site_fract_x
_atom_site_fract_y
_atom_site_fract_z
Nd1 0.000 0.000 0.500
Nd2 0.000 0.500 0.000
Nd3 0.000 0.500 0.500
Nd4 0.500 0.000 0.000
Nd5 0.500 0.000 0.500
Nd6 0.500 0.500 0.000
Nd7 0.500 0.500 0.500
Y1 0.000 0.245 0.755
Y2 0.000 0.755 0.245
Y3 0.245 0.000 0.755
Y4 0.245 0.245 0.489
Y5 0.245 0.489 0.245
Y6 0.245 0.755 0.000
Y7 0.489 0.245 0.245
Y8 0.511 0.755 0.755
Y9 0.755 0.000 0.245
Y10 0.755 0.245 0.000
Y11 0.755 0.511 0.755
Y12 0.755 0.755 0.511
Th1 0.000 0.000 0.000

=====

Name the least stable of them. *2*.

=====

*1*
# PBE NdY6Th, relaxed
# ρ: 5.79 Mg/m³
# V: 261.0 Å³ per cell
data_NdY6Th
_symmetry_space_group_name_H-M 'P 1'
_symmetry_Int_Tables_number 1
_cell_length_a 5.071
_cell_length_b 5.071
_cell_length_c 10.152
_cell_angle_alpha 90.00
_cell_angle_beta 90.00
_cell_angle_gamma 90.00
loop_
_symmetry_equiv_pos_as_xyz
'x,y,z'
loop_
_atom_site_label
_atom_site_fract_x
_atom_site_fract_y
_atom_site_fract_z
Nd1 0.000 0.000 0.000
Y1 0.000 0.500 0.254
Y2 0.000 0.500 0.746
Y3 0.500 0.000 0.254
Y4 0.500 0.000 0.746
Y5 0.500 0.500 0.000
Y6 0.500 0.500 0.500
Th1 0.000 0.000 0.500

=====

*2*
# PBE NdY6Th, relaxed
# ρ: 5.69 Mg/m³
# V: 265.5 Å³ per cell
data_NdY6Th
_symmetry_space_group_name_H-M 'P 1'
_symmetry_Int_Tables_number 1
_cell_length_a 6.587
_cell_length_b 6.828
_cell_length_c 6.868
_cell_angle_alpha 61.58
_cell_angle_beta 79.14
_cell_angle_gamma 89.74
loop_
_symmetry_equiv_pos_as_xyz
'x,y,z'
loop_
_atom_site_label
_atom_site_fract_x
_atom_site_fract_y
_atom_site_fract_z
Nd1 0.000 0.000 0.000
Y1 0.235 0.574 0.516
Y2 0.253 0.544 0.002
Y3 0.270 0.090 0.480
Y4 0.730 0.910 0.520
Y5 0.747 0.456 0.998
Y6 0.765 0.426 0.484
Th1 0.500 0.000 0.000

=====

Name the least stable of them. *2*.

=====

*1*
# PBE Nd4YTh, relaxed
# ρ: 7.26 Mg/m³
# V: 205.4 Å³ per cell
data_Nd4YTh
_symmetry_space_group_name_H-M 'P 1'
_symmetry_Int_Tables_number 1
_cell_length_a 3.634
_cell_length_b 6.308
_cell_length_c 9.652
_cell_angle_alpha 77.39
_cell_angle_beta 79.30
_cell_angle_gamma 73.71
loop_
_symmetry_equiv_pos_as_xyz
'x,y,z'
loop_
_atom_site_label
_atom_site_fract_x
_atom_site_fract_y
_atom_site_fract_z
Nd1 0.163 0.002 0.172
Nd2 0.165 0.507 0.663
Nd3 0.835 0.493 0.337
Nd4 0.837 0.998 0.828
Y1 0.500 0.500 0.000
Th1 0.500 0.000 0.500

=====

*2*
# PBE Nd4YTh, relaxed
# ρ: 6.06 Mg/m³
# V: 492.3 Å³ per cell
data_Nd4YTh
_symmetry_space_group_name_H-M 'P 1'
_symmetry_Int_Tables_number 1
_cell_length_a 11.774
_cell_length_b 12.067
_cell_length_c 3.465
_cell_angle_alpha 90.00
_cell_angle_beta 90.00
_cell_angle_gamma 90.00
loop_
_symmetry_equiv_pos_as_xyz
'x,y,z'
loop_
_atom_site_label
_atom_site_fract_x
_atom_site_fract_y
_atom_site_fract_z
Nd1 0.000 0.235 0.000
Nd2 0.000 0.765 0.000
Nd3 0.236 0.500 0.500
Nd4 0.264 0.000 0.500
Nd5 0.500 0.265 0.000
Nd6 0.500 0.735 0.000
Nd7 0.736 0.000 0.500
Nd8 0.764 0.500 0.500
Y1 0.000 0.000 0.500
Y2 0.500 0.500 0.500
Th1 0.000 0.500 0.000
Th2 0.500 0.000 0.000

=====

Name the least stable of them. *2*.

=====

*1*
# PBE Nd5Y4Th, relaxed
# ρ: 6.41 Mg/m³
# V: 339.0 Å³ per cell
data_Nd5Y4Th
_symmetry_space_group_name_H-M 'P 1'
_symmetry_Int_Tables_number 1
_cell_length_a 8.806
_cell_length_b 8.806
_cell_length_c 11.632
_cell_angle_alpha 108.22
_cell_angle_beta 108.22
_cell_angle_gamma 23.36
loop_
_symmetry_equiv_pos_as_xyz
'x,y,z'
loop_
_atom_site_label
_atom_site_fract_x
_atom_site_fract_y
_atom_site_fract_z
Nd1 0.000 0.000 0.000
Nd2 0.297 0.297 0.390
Nd3 0.310 0.310 0.918
Nd4 0.690 0.690 0.082
Nd5 0.703 0.703 0.610
Y1 0.105 0.105 0.798
Y2 0.418 0.418 0.702
Y3 0.582 0.582 0.298
Y4 0.895 0.895 0.202
Th1 0.000 0.000 0.500

=====

*2*
# PBE Nd5Y4Th, relaxed
# ρ: 6.21 Mg/m³
# V: 349.9 Å³ per cell
data_Nd5Y4Th
_symmetry_space_group_name_H-M 'P 1'
_symmetry_Int_Tables_number 1
_cell_length_a 8.082
_cell_length_b 8.082
_cell_length_c 8.082
_cell_angle_alpha 98.81
_cell_angle_beta 98.81
_cell_angle_gamma 133.93
loop_
_symmetry_equiv_pos_as_xyz
'x,y,z'
loop_
_atom_site_label
_atom_site_fract_x
_atom_site_fract_y
_atom_site_fract_z
Nd1 0.000 0.000 0.000
Nd2 0.072 0.447 0.991
Nd3 0.082 0.072 0.625
Nd4 0.447 0.457 0.375
Nd5 0.457 0.082 0.009
Y1 0.077 0.752 0.316
Y2 0.435 0.761 0.684
Y3 0.752 0.435 0.674
Y4 0.761 0.077 0.326
Th1 0.537 0.537 0.000

=====

Name the least stable of them. *2*.